Density functional theory data (PBE+U) for crystalline NiPtO2 at its relaxed geometry.

Unit cell a=6.6349 b=6.6349 c=6.0298 alpha=111.78 beta=111.78 gamma=25.12
Last column: nearest neighbours and their distance in Å.
Positions (direct):
Ni1 0.0000 0.0000 0.0000  5 O 1.91-2.05
Ni2 0.6810 0.6810 0.5071  4 O 1.95-2.02
Pt1 0.2739 0.2739 0.1042  3 O 2.02-2.04
Pt2 0.4636 0.4636 0.4792  2 O 1.88-2.00
O1 0.1581 0.1581 0.2574  3 Ni 2.02-2.05, 1 Pt 2.04
O2 0.2240 0.2240 0.7416  2 Ni 1.95, 1 Pt 2.03
O3 0.4342 0.4342 0.1281  2 Ni 1.98, 2 Pt 2.00-2.02
O4 0.5233 0.5233 0.8161  1 Pt 1.88, 2 Ni 1.91

Computed properties:
ρ, g cm⁻³: 9.11
Total magnetic moment, μB per formula unit: 1.39
DOS at the Fermi energy, states/eV/f.u.: 1.17
Electronic total energy, eV per atom: -5.081